Here is a geometry-optimized Pu2HO structure from the Alexandria database. Energies are from PBE.

```
Pu2HO
1.0
3.517 0.000 0.000
1.758 3.045 0.000
1.758 1.015 5.764
H O Pu
1 1 2
Direct
0.500 0.500 0.500
0.000 0.000 0.000
0.749 0.749 0.754
0.251 0.251 0.246
```

Values from the calculation:
* DOS(E_F): 14.25 states/eV per cell
* raw total energy: -10.49 eV per atom
* ΔE to the lowest computed polymorph: 0 meV/atom


Here is a geometry-optimized Pu2HO6 structure from the Alexandria database. Energies are from PBE.

```
Pu2HO6
1.0
9.789 0.976 3.361
3.054 5.311 0.411
1.872 -0.461 5.990
Pu H O
4 2 12
Direct
0.250 0.759 0.743
0.251 0.243 0.260
0.750 0.241 0.257
0.749 0.757 0.740
0.255 0.293 0.799
0.745 0.707 0.201
0.581 0.482 0.601
0.917 0.396 0.524
0.419 0.518 0.399
0.083 0.604 0.476
0.730 0.926 0.429
0.774 0.579 0.074
0.270 0.074 0.571
0.226 0.421 0.926
0.084 0.986 0.094
0.419 0.890 0.029
0.916 0.014 0.906
0.581 0.110 0.971
```

Values from the calculation:
* DOS(E_F): 13.17 states/eV per cell
* raw total energy: -9.13 eV per atom


Here is a geometry-optimized Pu2HO structure from the Alexandria database. Energies are from PBE.

```
Pu2HO
1.0
3.479 0.000 0.000
1.739 3.013 0.000
1.739 1.004 6.045
Pu H O
2 1 1
Direct
0.079 0.079 0.762
0.251 0.251 0.246
0.666 0.666 0.003
0.504 0.504 0.489
```

Values from the calculation:
* DOS(E_F): 11.84 states/eV per cell
* raw total energy: -10.38 eV per atom
* ΔE to the lowest computed polymorph: 109 meV/atom